# Ba2TeSe2

Crystalline Ba2TeSe2 at its relaxed geometry (PBE, Alexandria).

Cell lengths 4.5928, 4.5928, 16.9092 Å; angles 90.00, 90.00, 90.00 degrees
With the nearest neighbours (Å) after each atom.
Space group I4/mmm (No. 139)
Symmetry-distinct sites (fractional):
Ba: 0.0000 0.0000 0.1338 (multiplicity 4)  5 Se 3.30-3.33
Te: 0.0000 0.0000 0.5000 (multiplicity 2)  2 Se 2.87
Se: 0.0000 0.0000 0.3305 (multiplicity 4)  1 Te 2.87

The value obtained for the energy is -43.80 eV/cell. For the volume, the calculation gives 35.67 Å³/atom.


# PrSmErTm2

Crystalline PrSmErTm2 at its relaxed geometry (PBE, Alexandria).

Cell lengths 8.3799, 11.4799, 7.1709 Å; angles 90.00, 90.00, 90.00 degrees
With the nearest neighbours (Å) after each atom.
Space group Cmcm (No. 63)
Symmetry-distinct sites (fractional):
Pr: 0.0000 0.2299 0.2500 (multiplicity 4)  1 Sm 3.12
Sm: 0.0000 0.4983 0.7500 (multiplicity 4)  1 Pr 3.12, 4 Tm 3.18, 1 Er 3.22
Er: 0.0000 0.2181 0.7500 (multiplicity 4)  1 Sm 3.22, 4 Tm 3.45, 2 Pr 3.59
Tm: 0.1870 0.0000 0.0000 (multiplicity 8)  1 Tm 3.13, 2 Sm 3.18, 2 Er 3.45

As for the formation energy: 0.38 eV/atom. The density of states at the Fermi level is 31.2 states/eV per cell. For the volume, the calculation gives 34.49 Å³/atom.


# NaCuNi2

Crystalline NaCuNi2 at its relaxed geometry (PBE, Alexandria).

Cell lengths 5.9480, 5.9480, 5.9480 Å; angles 90.00, 90.00, 90.00 degrees
With the nearest neighbours (Å) after each atom.
Space group Fm-3m (No. 225)
Symmetry-distinct sites (fractional):
Na: 0.0000 0.0000 0.0000 (multiplicity 4)  8 Ni 2.58
Cu: 0.0000 0.0000 0.5000 (multiplicity 4)  8 Ni 2.58
Ni: 0.2500 0.2500 0.2500 (multiplicity 8)  4 Na 2.58, 4 Cu 2.58

As for the formation energy: 0.50 eV/atom. The density of states at the Fermi level is 11.7 states/eV per cell. For the volume, the calculation gives 13.15 Å³/atom.


# CsP2H8

Crystalline CsP2H8 at its relaxed geometry (PBE, Alexandria).

Cell lengths 9.6246, 5.1473, 7.2697 Å; angles 90.00, 122.83, 90.00 degrees
With the nearest neighbours (Å) after each atom.
Space group C2/m (No. 12)
Symmetry-distinct sites (fractional):
Cs: 0.0000 0.0000 0.0000 (multiplicity 2)  10 H 2.98-3.20
P: 0.1554 0.0000 0.6606 (multiplicity 4)  4 H 1.43-1.59
H: 0.1605 0.3083 0.6645 (multiplicity 8)  1 P 1.59
H: 0.1866 0.5000 0.1273 (multiplicity 4)  1 P 1.47
H: 0.2201 0.0000 0.5238 (multiplicity 4)  1 P 1.43

The value obtained for the energy is -74.80 eV/cell. The density of states at the Fermi level is 3.2 states/eV per cell. For the volume, the calculation gives 13.76 Å³/atom.